Crystalline P5Pt4 at its relaxed geometry. Source: Alexandria via LeMat-Bulk, functional GGA-PBE.

Lattice parameters (Å, degrees): 6.9373 6.9373 7.0485 90.00 90.00 120.00
Positions (direct):
P (0.3333, 0.6667, 0.5000)
P (0.0000, 0.7627, 0.2500)
P (0.3333, 0.6667, 0.0000)
P (0.6667, 0.3333, 0.0000)
P (0.7627, 0.0000, 0.2500)
P (0.6667, 0.3333, 0.5000)
P (0.2373, 0.2373, 0.2500)
P (0.7627, 0.7627, 0.7500)
P (0.0000, 0.2373, 0.7500)
P (0.2373, 0.0000, 0.7500)
Pt (0.0000, 0.0000, 0.5000)
Pt (0.5706, 0.0000, 0.7500)
Pt (0.4294, 0.0000, 0.2500)
Pt (0.0000, 0.0000, 0.0000)
Pt (0.0000, 0.4294, 0.2500)
Pt (0.4294, 0.4294, 0.7500)
Pt (0.0000, 0.5706, 0.7500)
Pt (0.5706, 0.5706, 0.2500)

As for the space-group type: No. 193. For the energy relative to the elements, the calculation gives 0.01 eV per atom.



Crystalline PmSi2Rh at its relaxed geometry. Source: Alexandria via LeMat-Bulk, functional GGA-PBE.

Lattice parameters (Å, degrees): 4.0963 4.0963 5.6008 68.55 68.55 60.00
Positions (direct):
Si (0.2098, 0.2098, 0.3707)
Si (0.7902, 0.7902, 0.6293)
Rh (0.5000, 0.5000, 0.5000)
Pm (0.0000, 0.0000, 0.0000)

As for the space-group type: No. 166. The uncorrected formation energy is -0.91 eV per atom. As for the relative energy among the computed polymorphs: 0.03 eV/f.u.



Crystalline Nb3Ir2Rh3 at its relaxed geometry. Source: Alexandria via LeMat-Bulk, functional GGA-PBE.

Lattice parameters (Å, degrees): 3.8953 3.9526 8.1026 90.00 90.00 90.00
Positions (direct):
Rh (0.0000, 0.5000, 0.0000)
Rh (0.0000, 0.5000, 0.5000)
Rh (0.5000, 0.0000, 0.5000)
Ir (0.0000, 0.0000, 0.2540)
Ir (0.0000, 0.0000, 0.7460)
Nb (0.5000, 0.5000, 0.7366)
Nb (0.5000, 0.0000, 0.0000)
Nb (0.5000, 0.5000, 0.2634)

As for the space-group type: No. 47. For the energy relative to the elements, the calculation gives -0.50 eV per atom.



Crystalline ScOs2Cl at its relaxed geometry. Source: Alexandria via LeMat-Bulk, functional GGA-PBE.

Lattice parameters (Å, degrees): 6.0871 6.0871 6.0871 145.94 145.94 48.94
Positions (direct):
Sc (0.2500, 0.7500, 0.5000)
Os (0.5000, 0.5000, 0.0000)
Os (0.0000, 0.0000, 0.0000)
Cl (0.7500, 0.2500, 0.5000)

As for the space-group type: No. 139. The uncorrected formation energy is 0.23 eV per atom. As for the relative energy among the computed polymorphs: 1.36 eV/f.u.



Crystalline Pm2Pr2Sc at its relaxed geometry. Source: Alexandria via LeMat-Bulk, functional GGA-PBE.

Lattice parameters (Å, degrees): 4.9373 6.3344 6.3344 73.45 67.06 67.06
Positions (direct):
Pm (0.7924, 0.7076, 0.7076)
Pm (0.2076, 0.2924, 0.2924)
Pr (0.5000, 0.2859, 0.7141)
Pr (0.5000, 0.7141, 0.2859)
Sc (0.0000, 0.0000, 0.0000)

As for the space-group type: No. 71. As for the relative energy among the computed polymorphs: 0.41 eV/f.u. For the energy relative to the elements, the calculation gives 0.22 eV per atom.



Crystalline CaNi4Sn4 at its relaxed geometry. Source: Alexandria via LeMat-Bulk, functional GGA-PBE.

Lattice parameters (Å, degrees): 5.1009 8.5717 8.5717 90.00 90.00 90.00
Positions (direct):
Sn (0.9065, 0.6237, 0.8607)
Sn (0.4065, 0.6393, 0.1237)
Sn (0.9065, 0.3763, 0.1393)
Sn (0.0935, 0.8607, 0.3763)
Sn (0.0935, 0.1393, 0.6237)
Sn (0.4065, 0.3607, 0.8763)
Sn (0.5935, 0.8763, 0.6393)
Sn (0.5935, 0.1237, 0.3607)
Ni (0.5947, 0.1787, 0.6656)
Ni (0.5947, 0.8213, 0.3344)
Ni (0.4053, 0.3344, 0.1787)
Ni (0.0947, 0.8344, 0.6787)
Ni (0.9053, 0.3213, 0.8344)
Ni (0.9053, 0.6787, 0.1656)
Ni (0.0947, 0.1656, 0.3213)
Ni (0.4053, 0.6656, 0.8213)
Ca (0.0000, 0.0000, 0.0000)
Ca (0.5000, 0.5000, 0.5000)

As for the space-group type: No. 86. For the energy relative to the elements, the calculation gives -0.20 eV per atom.



Crystalline TiNb2TlH at its relaxed geometry. Source: Alexandria via LeMat-Bulk, functional GGA-PBE.

Lattice parameters (Å, degrees): 4.1093 4.1093 4.5370 90.00 90.00 90.00
Positions (direct):
Tl (0.5000, 0.5000, 0.5000)
H (0.0000, 0.0000, 0.0000)
Ti (0.0000, 0.0000, 0.5000)
Nb (0.0000, 0.5000, 0.0000)
Nb (0.5000, 0.0000, 0.0000)

As for the space-group type: No. 123.



Crystalline NaZnBi at its relaxed geometry. Source: Alexandria via LeMat-Bulk, functional GGA-PBE.

Lattice parameters (Å, degrees): 4.3801 4.3801 8.8202 104.36 104.36 90.06
Positions (direct):
Na (0.6774, 0.6774, 0.3548)
Na (0.3226, 0.3226, 0.6452)
Bi (0.8813, 0.8813, 0.7627)
Bi (0.1187, 0.1187, 0.2373)
Zn (0.0000, 0.5000, 0.0000)
Zn (0.5000, 0.0000, 0.0000)

As for the space-group type: No. 139. For the energy relative to the elements, the calculation gives -0.05 eV per atom.



Number 1: E -51.09 eV per formula unit. Number 2: E -26.60 eV per formula unit. Number 3: E -73.97 eV per formula unit. Number 4: E -29.74 eV per formula unit. Number 5: E -24.31 eV per formula unit. Number 6: E -42.96 eV per formula unit. Number 7: E -33.99 eV per formula unit. Number 8: E -6.61 eV per formula unit.